A plane-wave DFT calculation with PBE was carried out for a geometry-optimized Sm7Ho2Tm3 structure.

The calculation puts the excess energy over the best structure of this formula in the dataset at 178 meV per atom. As for the electronic total energy: -52.062 eV/cell. Its energy of formation is 295 meV/atom.

The structure belongs to space group P2/m (No. 10); the cell edges are 6.231, 5.476 and 12.167 Å and the angles 90.00°, 90.34° and 90.00°. The asymmetric unit holds Sm at (0.000, 0.000, 0.000), Sm at (0.089, 0.500, 0.172), Sm at (0.242, 0.500, 0.455), Sm at (0.442, 0.000, 0.183), Ho at (0.389, 0.500, 0.723), Tm at (0.063, 0.000, 0.657) and Tm at (0.500, 0.500, 0.000).



A plane-wave DFT calculation with PBE was carried out for a geometry-optimized Be2InCu structure.

As for the electronic total energy: -25.705 eV/cell. Its energy of formation is 359 meV/atom.

The structure belongs to space group I-4m2 (No. 119); the cell edges are 3.720, 3.720 and 7.542 Å and the angles 90.00°, 90.00° and 90.00°. The asymmetric unit holds Be at (0.000, 0.000, 0.000), Be at (0.000, 0.500, 0.250), In at (0.000, 0.000, 0.500) and Cu at (0.000, 0.500, 0.750).



A plane-wave DFT calculation with PBE was carried out for a geometry-optimized ZnHRu structure.

The calculation puts the excess energy over the best structure of this formula in the dataset at 418 meV per atom. As for the electronic total energy: -25.273 eV/cell.

The structure belongs to space group I4mm (No. 107); the cell edges are 2.665, 2.665 and 10.582 Å and the angles 90.00°, 90.00° and 90.00°. The asymmetric unit holds Zn at (0.000, 0.000, 0.000), H at (0.000, 0.000, 0.160) and Ru at (0.000, 0.000, 0.321).



A plane-wave DFT calculation with PBE was carried out for a geometry-optimized BeRu2Rh structure.

As for the electronic total energy: -57.867 eV/cell. Its energy of formation is 174 meV/atom.

The structure belongs to space group Cmm2 (No. 35); the cell edges are 2.772, 4.561 and 8.275 Å and the angles 90.00°, 90.00° and 90.00°. The asymmetric unit holds Be at (0.000, 0.000, 0.000), Ru at (0.000, 0.000, 0.499), Ru at (0.000, 0.500, 0.228) and Rh at (0.000, 0.500, 0.783).



no.,magnetic moment (Bohr magnetons per cell),calculated volume (A^3/atom)
1,0.00,34.597
2,0.00,13.048
3,2.49,12.522
4,2.20,13.080